No. 1
A geometry-optimized GaCo2ReN structure. Source: Alexandria via LeMat-Bulk, functional PBE.

Computed properties:
Formation energy from raw total energies, eV per atom: -0.008

abc: 3.7982 3.7982 4.0038
angles: 90.00 90.00 90.00
With the nearest neighbours (Å) after each atom.
Space group P4/mmm (No. 123)
Symmetry-distinct sites (fractional):
1 Ga 0.0000 0.0000 0.0000  4 Re 2.69, 8 Co 2.76
2 Co 0.0000 0.5000 0.5000  2 N 1.90
3 Re 0.5000 0.5000 0.0000  2 N 2.00
4 N 0.5000 0.5000 0.5000  4 Co 1.90, 2 Re 2.00



No. 2
A geometry-optimized PrSm2Ho structure. Source: Alexandria via LeMat-Bulk, functional PBE.

Computed properties:
ΔE to the lowest computed polymorph, eV/atom: 0.1298
Formation energy from the elements, eV per atom: 0.15

abc: 8.1620 8.1620 8.1620
angles: 90.00 90.00 90.00
With the nearest neighbours (Å) after each atom.
Space group Fm-3m (No. 225)
Symmetry-distinct sites (fractional):
1 Pr 0.0000 0.0000 0.0000  8 Sm 3.53
2 Sm 0.2500 0.2500 0.2500  4 Ho 3.53, 4 Pr 3.53
3 Ho 0.0000 0.0000 0.5000  8 Sm 3.53



no.,Fermi-level density of states (states/eV/f.u.),DFT total energy (eV/atom)
1,2.702,-7.611
2,10.935,-4.552